[1]
K2HgI2: optimized geometry, PBE.

Cell lengths 6.620, 6.620, 8.101 Å; angles 65.89, 65.89, 90.00 degrees
Fractional coordinates of all 5 atoms:
I 0.323 0.323 0.355
I 0.677 0.677 0.645
K 0.750 0.250 0.500
K 0.250 0.750 0.500
Hg 0.000 0.000 0.000

Summary:
SG = I4/mmm (139)
energy above the lowest structure with this stoichiometry = 0.053 eV/atom
formation energy without anion corrections = -1.0592 eV/atom
volume = 290 Å³/cell
electronic total energy = -10.9 eV per formula unit

=====

[2]
Ir2Ru7Rh2: optimized geometry, PBE.

Cell lengths 4.630, 6.089, 6.089 Å; angles 82.87, 99.05, 99.05 degrees
Fractional coordinates of all 11 atoms:
Ir 0.733 0.239 0.239
Ir 0.267 0.761 0.761
Ru 0.236 0.047 0.412
Ru 0.764 0.588 0.953
Ru 0.764 0.953 0.588
Ru 0.236 0.412 0.047
Ru 0.000 0.000 0.000
Ru 0.778 0.545 0.545
Ru 0.222 0.455 0.455
Rh 0.500 0.194 0.806
Rh 0.500 0.806 0.194

Summary:
SG = C2/m (12)
volume = 167 Å³/cell
energy of formation = 370 meV per atom
electronic total energy = -93.3 eV per formula unit

=====

[3]
LaBiSb3: optimized geometry, PBE.

Cell lengths 5.744, 5.744, 5.744 Å; angles 90.00, 90.00, 90.00 degrees
Fractional coordinates of all 5 atoms:
Sb 0.000 0.500 0.000
Sb 0.000 0.000 0.500
Sb 0.500 0.000 0.000
Bi 0.000 0.000 0.000
La 0.500 0.500 0.500

Summary:
SG = Pm-3m (221)
energy above the lowest structure with this stoichiometry = 0.000 eV/atom
formation energy without anion corrections = 0.3151 eV/atom
volume = 190 Å³/cell
electronic total energy = -19.6 eV per formula unit

=====

[4]
Dy4Ho8Th3: optimized geometry, PBE.

Cell lengths 11.471, 9.255, 9.255 Å; angles 87.97, 128.46, 128.46 degrees
Fractional coordinates of all 15 atoms:
Dy 0.500 0.000 0.000
Dy 0.000 0.500 0.000
Dy 0.000 0.000 0.000
Dy 0.000 0.000 0.500
Ho 0.535 0.267 0.267
Ho 0.000 0.642 0.358
Ho 0.992 0.254 0.254
Ho 0.500 0.755 0.245
Ho 0.500 0.245 0.755
Ho 0.008 0.746 0.746
Ho 0.000 0.358 0.642
Ho 0.465 0.733 0.733
Th 0.500 0.500 0.000
Th 0.500 0.000 0.500
Th 0.500 0.500 0.500

Summary:
SG = C2/m (12)
volume = 494 Å³/cell
energy of formation = 434 meV per atom
electronic total energy = -70.8 eV per formula unit

=====

[5]
Y2ScSnH: optimized geometry, PBE.

Cell lengths 4.755, 4.755, 4.646 Å; angles 90.00, 90.00, 90.00 degrees
Fractional coordinates of all 5 atoms:
Y 0.000 0.500 0.000
Y 0.500 0.000 0.000
Sc 0.000 0.000 0.500
Sn 0.500 0.500 0.500
H 0.000 0.000 0.000

Summary:
SG = P4/mmm (123)
volume = 105 Å³/cell
electronic total energy = -29.0 eV per formula unit

=====

[6]
CsK2AlAu: optimized geometry, PBE.

Cell lengths 6.650, 6.650, 4.983 Å; angles 90.00, 90.00, 90.00 degrees
Fractional coordinates of all 5 atoms:
Cs 0.500 0.500 0.500
K 0.000 0.500 0.000
K 0.500 0.000 0.000
Au 0.000 0.000 0.000
Al 0.000 0.000 0.500

Summary:
SG = P4/mmm (123)
volume = 220 Å³/cell
energy of formation = -36 meV per atom
electronic total energy = -10.2 eV per formula unit

=====

[7]
TcTe2AsI: optimized geometry, PBE.

Cell lengths 5.133, 5.133, 5.516 Å; angles 90.00, 90.00, 90.00 degrees
Fractional coordinates of all 5 atoms:
I 0.000 0.000 0.500
As 0.500 0.500 0.500
Te 0.000 0.500 0.000
Te 0.500 0.000 0.000
Tc 0.000 0.000 0.000

Summary:
SG = P4/mmm (123)
energy above the lowest structure with this stoichiometry = 0.000 eV/atom
formation energy without anion corrections = 0.7169 eV/atom
volume = 145 Å³/cell
electronic total energy = -19.3 eV per formula unit

=====

[8]
DyHo2Er9: optimized geometry, PBE.

Cell lengths 4.956, 4.956, 14.870 Å; angles 90.00, 90.00, 90.00 degrees
Fractional coordinates of all 12 atoms:
Dy 0.000 0.000 0.000
Ho 0.000 0.000 0.334
Ho 0.000 0.000 0.666
Er 0.500 0.500 0.000
Er 0.500 0.500 0.334
Er 0.500 0.500 0.666
Er 0.500 0.000 0.167
Er 0.500 0.000 0.500
Er 0.500 0.000 0.833
Er 0.000 0.500 0.167
Er 0.000 0.500 0.500
Er 0.000 0.500 0.833

Summary:
SG = P4/mmm (123)
energy above the lowest structure with this stoichiometry = 0.000 eV/atom
volume = 365 Å³/cell
energy of formation = 23 meV per atom
electronic total energy = -54.5 eV per formula unit

=====

[9]
LiAg2Au5: optimized geometry, PBE.

Cell lengths 7.277, 7.277, 7.559 Å; angles 118.77, 118.77, 90.00 degrees
Fractional coordinates of all 16 atoms:
Li 0.750 0.750 0.500
Li 0.250 0.250 0.500
Ag 0.146 0.354 0.000
Ag 0.646 0.146 0.000
Ag 0.354 0.854 0.000
Ag 0.854 0.646 0.000
Au 0.483 0.682 0.665
Au 0.818 0.017 0.335
Au 0.000 0.000 0.000
Au 0.500 0.500 0.000
Au 0.182 0.983 0.665
Au 0.682 0.182 0.665
Au 0.983 0.483 0.665
Au 0.318 0.818 0.335
Au 0.017 0.517 0.335
Au 0.517 0.318 0.335

Summary:
SG = I4/mcm (140)
energy above the lowest structure with this stoichiometry = 0.000 eV/atom
volume = 293 Å³/cell
energy of formation = -83 meV per atom
electronic total energy = -24.7 eV per formula unit

=====

[10]
PmHo3Rh: optimized geometry, PBE.

Cell lengths 5.399, 5.399, 5.399 Å; angles 90.00, 90.00, 90.00 degrees
Fractional coordinates of all 5 atoms:
Rh 0.000 0.000 0.000
Ho 0.000 0.500 0.000
Ho 0.000 0.000 0.500
Ho 0.500 0.000 0.000
Pm 0.500 0.500 0.500

Summary:
SG = Pm-3m (221)
energy above the lowest structure with this stoichiometry = 0.045 eV/atom
volume = 157 Å³/cell
energy of formation = -256 meV per atom
electronic total energy = -27.1 eV per formula unit

=====

[11]
Sr2CuBrO2: optimized geometry, PBE.

Cell lengths 9.849, 9.849, 9.849 Å; angles 23.84, 23.84, 23.84 degrees
Fractional coordinates of all 6 atoms:
O 0.437 0.437 0.437
O 0.563 0.563 0.563
Sr 0.253 0.253 0.253
Sr 0.747 0.747 0.747
Br 0.000 0.000 0.000
Cu 0.500 0.500 0.500

Summary:
SG = R-3m (166)
formation energy without anion corrections = -2.0851 eV/atom
volume = 137 Å³/cell
electronic total energy = -31.6 eV per formula unit

=====

[12]
LaCd3Re: optimized geometry, PBE.

Cell lengths 5.188, 5.188, 5.188 Å; angles 90.00, 90.00, 90.00 degrees
Fractional coordinates of all 5 atoms:
Re 0.000 0.000 0.000
Cd 0.000 0.500 0.000
Cd 0.000 0.000 0.500
Cd 0.500 0.000 0.000
La 0.500 0.500 0.500

Summary:
SG = Pm-3m (221)
energy above the lowest structure with this stoichiometry = 0.000 eV/atom
volume = 140 Å³/cell
energy of formation = 504 meV per atom
electronic total energy = -17.6 eV per formula unit